This record from the Alexandria database describes a crystal of CaS2F relaxed with PBEsol. The functional is meta-GGA SCAN.

Unit cell a=6.7214 b=6.7214 c=6.7214 alpha=38.18 beta=38.18 gamma=38.18
With the nearest neighbours (Å) after each atom.
Fractional coordinates of all 4 atoms:
Ca 0.0000 0.0000 0.0000  6 S 2.78
S 0.3942 0.3942 0.3942  1 F 1.98
S 0.6058 0.6058 0.6058  1 F 1.98
F 0.5000 0.5000 0.5000  2 S 1.98

The density comes out at 1.96 g cm⁻³. The value obtained for the formation energy (no corrections) is -0.95 eV per atom. For the total magnetization, the calculation gives 0.96 μB/cell.